Density functional theory data (PBE-GGA) for MgMn2Rh2 after structural relaxation.

The energy above the most stable polymorph in this dataset comes out at 0.0 meV per atom. The calculation puts the energy relative to the elements at -95 meV per atom. The energy comes out at -7.022 eV per atom.

Cell: 7.2465 7.2465 2.9799 Å, 90.00 90.00 90.00°
Closest atoms and distances in Å follow each position.
Fractional coordinates of all 10 atoms:
1 Mg 0.0000 0.0000 0.0000  4 Rh 2.78, 2 Mg 2.98
2 Mg 0.5000 0.5000 0.0000  4 Rh 2.78, 2 Mg 2.98
3 Mn 0.1519 0.6519 0.5000  6 Rh 2.57-2.61
4 Mn 0.6519 0.8481 0.5000  6 Rh 2.57-2.61
5 Mn 0.8481 0.3481 0.5000  6 Rh 2.57-2.61
6 Mn 0.3481 0.1519 0.5000  6 Rh 2.57-2.61
7 Rh 0.3560 0.8560 0.0000  6 Mn 2.57-2.61, 2 Mg 2.78
8 Rh 0.8560 0.6440 0.0000  6 Mn 2.57-2.61, 2 Mg 2.78
9 Rh 0.6440 0.1440 0.0000  6 Mn 2.57-2.61, 2 Mg 2.78
10 Rh 0.1440 0.3560 0.0000  6 Mn 2.57-2.61, 2 Mg 2.78